Below is a PBEsol-optimized structure of KZnCr2, with properties calculated at the meta-GGA SCAN level.

Unit cell a=2.9834 b=5.2679 c=5.0711 alpha=90.00 beta=90.00 gamma=90.00
Last column: magnetic moment on the atom in μB.
Positions (direct):
1 K 0.5000 0.0000 0.5000  0.03
2 Zn 0.0000 0.5000 0.5000  -0.07
3 Cr 0.0000 0.0000 0.0000  4.10
4 Cr 0.5000 0.5000 0.0000  3.81

Results
- M_tot: 8.84 μB per formula unit
- Space-group type: Pmmm
- VASP energy: -13.736 eV/atom
- Density: 4.344 g cm⁻³
- ΔE_f: 0.917 eV per atom


Below is a PBEsol-optimized structure of LaCr2, with properties calculated at the meta-GGA SCAN level.

Unit cell a=4.3529 b=4.3529 c=7.0441 alpha=108.00 beta=108.00 gamma=90.00
Positions (direct):
1 Cr 0.8250 0.3250 0.6500
2 Cr 0.4250 0.4250 0.8500
3 Cr 0.6750 0.1750 0.3500
4 Cr 0.5750 0.5750 0.1500
5 La 0.2500 0.7500 0.5000
6 La 0.0000 0.0000 0.0000

Results
- M_tot: 0.00 μB per formula unit
- Space-group type: I4_1/amd
- VASP energy: -25.750 eV/atom
- Density: 6.719 g cm⁻³
- ΔE_f: 0.875 eV per atom


Below is a PBEsol-optimized structure of LaCr2, with properties calculated at the meta-GGA SCAN level.

Unit cell a=2.9652 b=4.6766 c=8.5896 alpha=108.00 beta=90.00 gamma=108.48
Last column: magnetic moment on the atom in μB.
Positions (direct):
1 La 0.3264 0.6528 0.3576  0.10
2 La 0.6736 0.3472 0.6424  0.10
3 Cr 0.0055 0.0109 0.8447  -2.30
4 Cr 0.3404 0.6808 0.9682  1.50
5 Cr 0.6596 0.3192 0.0318  1.50
6 Cr 0.9945 0.9891 0.1553  -2.30

Results
- M_tot: 0.69 μB per formula unit
- Space-group type: C2/m
- VASP energy: -26.164 eV/atom
- Density: 7.553 g cm⁻³
- ΔE_f: 0.461 eV per atom


Below is a PBEsol-optimized structure of LaCr2, with properties calculated at the meta-GGA SCAN level.

Unit cell a=3.5305 b=4.1797 c=7.8169 alpha=90.00 beta=103.05 gamma=90.00
Last column: magnetic moment on the atom in μB.
Positions (direct):
1 Cr 0.1647 0.7500 0.3294  2.32
2 Cr 0.8353 0.2500 0.6706  2.32
3 Cr 0.7540 0.7500 0.5081  -2.12
4 Cr 0.2460 0.2500 0.4919  -2.12
5 La 0.5827 0.2500 0.1654  -0.02
6 La 0.4173 0.7500 0.8346  -0.02

Results
- M_tot: 0.11 μB per formula unit
- Space-group type: Cmcm
- VASP energy: -26.283 eV/atom
- Density: 7.179 g cm⁻³
- ΔE_f: 0.342 eV per atom


Below is a PBEsol-optimized structure of LiLaCrP2, with properties calculated at the meta-GGA SCAN level.

Unit cell a=5.3228 b=5.3228 c=5.3064 alpha=90.00 beta=90.00 gamma=90.00
Last column: magnetic moment on the atom in μB.
Positions (direct):
1 La 0.0000 0.0000 0.0000  0.10
2 Li 0.0000 0.0000 0.5000  0.03
3 P 0.0000 0.5000 0.0000  0.10
4 P 0.5000 0.0000 0.0000  0.10
5 Cr 0.5000 0.5000 0.5000  -4.33

Results
- M_tot: 4.26 μB per formula unit
- Space-group type: P4/mmm
- VASP energy: -16.054 eV/atom
- Density: 2.869 g cm⁻³
- ΔE_f: 0.881 eV per atom


Below is a PBEsol-optimized structure of LiLaCr2Sn, with properties calculated at the meta-GGA SCAN level.

Unit cell a=4.9918 b=4.9918 c=5.9107 alpha=90.00 beta=90.00 gamma=90.00
Last column: magnetic moment on the atom in μB.
Positions (direct):
1 La 0.0000 0.0000 0.0000  -0.08
2 Sn 0.0000 0.0000 0.5000  0.08
3 Cr 0.5000 0.0000 0.0000  -3.69
4 Cr 0.0000 0.5000 0.0000  -3.69
5 Li 0.5000 0.5000 0.5000  0.00

Results
- M_tot: 7.87 μB per formula unit
- Space-group type: P4/mmm
- VASP energy: -22.361 eV/atom
- Density: 4.155 g cm⁻³
- ΔE_f: 1.276 eV per atom